Here is an optimized crystal structure of PmErCdPt from the Alexandria database. Energies are from GGA-PBE.

Cell: 5.139 5.139 5.139 Å, 60.00 60.00 60.00°
Positions (direct):
Pm 0.000 0.000 0.000
Er 0.500 0.500 0.500
Cd 0.750 0.750 0.750
Pt 0.250 0.250 0.250

Values from the calculation:
* density of states at the Fermi level: 0.774 states/eV/atom
* DFT total energy: -19.018 eV for the cell shown
* symmetry: F-43m (216)
* DFT formation energy: -0.69 eV/atom
* V: 24.0 Å³/atom